Computed, not measured: a relaxed CeTlGaAu crystal at the GGA-PBE level of DFT.

The space group is F-43m (No. 216) and the conventional cell measures 7.197, 7.197 and 7.197 Å, with angles of 90.00, 90.00 and 90.00 degrees. The asymmetric unit holds Ce at (0.000, 0.000, 0.000), Tl at (0.000, 0.000, 0.500), Ga at (0.250, 0.250, 0.750) and Au at (0.250, 0.250, 0.250).

The formation energy comes out at -385.8 meV per atom.

=====

Computed, not measured: a relaxed Li2CeCdS4 crystal at the GGA-PBE level of DFT.

The space group is P2/m (No. 10) and the conventional cell measures 6.566, 3.965 and 6.597 Å, with angles of 90.00, 109.75 and 90.00 degrees. The asymmetric unit holds Li at (0.000, 0.000, 0.000), Li at (0.500, 0.500, 0.000), Ce at (0.000, 0.500, 0.500), Cd at (0.500, 0.000, 0.500), S at (0.242, 0.000, 0.759) and S at (0.253, 0.500, 0.251).

As for the energy relative to the elements, uncorrected: -1.289 eV/atom.

=====

Computed, not measured: a relaxed KRb2TlCd2 crystal at the GGA-PBE level of DFT.

The space group is Pmc2_1 (No. 26) and the conventional cell measures 5.848, 9.739 and 9.166 Å, with angles of 90.00, 90.00 and 90.00 degrees. The asymmetric unit holds K at (0.000, 0.029, 0.000), Rb at (0.000, 0.348, 0.314), Rb at (0.500, 0.358, 0.958), Tl at (0.500, 0.214, 0.572), Cd at (0.000, 0.281, 0.705) and Cd at (0.500, 0.054, 0.270).

The formation energy comes out at -37.4 meV per atom.

=====

Computed, not measured: a relaxed ErTh2In3 crystal at the GGA-PBE level of DFT.

The space group is P4/mmm (No. 123) and the conventional cell measures 3.527, 3.527 and 13.440 Å, with angles of 90.00, 90.00 and 90.00 degrees. The asymmetric unit holds Er at (0.000, 0.000, 0.000), Th at (0.000, 0.000, 0.328), In at (0.500, 0.500, 0.157) and In at (0.500, 0.500, 0.500).

The formation energy comes out at -337.0 meV per atom. Its energy above the lowest structure with this stoichiometry is 0 kJ/mol of formula units.

=====

Number 1: uncorrected energy -64.59 eV for the cell shown. Number 2: uncorrected energy -37.50 eV for the cell shown. Number 3: uncorrected energy -14.91 eV for the cell shown. Number 4: uncorrected energy -29.64 eV for the cell shown.